DFT (PBEsol) results for a relaxed Al13Os4 crystal.

The structure belongs to space group C2/m (No. 12); the cell edges are 17.583, 4.214 and 7.743 Å and the angles 90.00°, 115.76° and 90.00°. The inequivalent atoms are Al at (0.000, 0.000, 0.000), Al at (0.085, 0.500, 0.568), Al at (0.088, 0.000, 0.366), Al at (0.088, 0.000, 0.799), Al at (0.130, 0.500, 0.158), Al at (0.207, 0.500, 0.916), Al at (0.241, 0.000, 0.384), Os at (0.009, 0.500, 0.805) and Os at (0.206, 0.000, 0.708).

As for the energy: -218.93 eV per cell. The mass density is 7.145 g/cm³. The energy relative to the elements is -7.41 eV/f.u.


DFT (PBEsol) results for a relaxed Al2POs crystal.

The structure belongs to space group Imm2 (No. 44); the cell edges are 2.838, 4.118 and 10.683 Å and the angles 90.00°, 90.00° and 90.00°. The inequivalent atoms are Al at (0.000, 0.000, 0.000), Al at (0.000, 0.500, 0.194), P at (0.000, 0.000, 0.394) and Os at (0.000, 0.500, 0.715).

As for the energy: -53.70 eV per cell. The mass density is 7.318 g/cm³. The energy relative to the elements is -0.66 eV/f.u.


DFT (PBEsol) results for a relaxed AlPOs2 crystal.

The structure belongs to space group R3m (No. 160, hexagonal axes); the cell edges are 2.8461, 2.8461 and 23.5306 Å and the angles 90.00°, 90.00° and 120.00°. The inequivalent atoms are Al at (0.0000, 0.0000, 0.0000), P at (0.0000, 0.0000, 0.2493), Os at (0.0000, 0.0000, 0.5089) and Os at (0.0000, 0.0000, 0.7500).

As for the energy: -103.40 eV per cell. The mass density is 13.231 g/cm³. The energy relative to the elements is -0.15 eV/f.u.


DFT (PBEsol) results for a relaxed AlP2Os crystal.

The structure belongs to space group Pmm2 (No. 25); the cell edges are 2.921, 3.763 and 5.051 Å and the angles 90.00°, 90.00° and 90.00°. The inequivalent atoms are Al at (0.000, 0.000, 0.000), P at (0.000, 0.000, 0.495), P at (0.500, 0.500, 0.858) and Os at (0.500, 0.500, 0.375).

As for the energy: -27.89 eV per cell. The mass density is 8.348 g/cm³. The energy relative to the elements is 0.00 eV/f.u.


DFT (PBEsol) results for a relaxed AlP3Os crystal.

The structure belongs to space group Pm-3m (No. 221); the cell edges are 4.583, 4.583 and 4.583 Å and the angles 90.00°, 90.00° and 90.00°. The inequivalent atoms are Al at (0.000, 0.000, 0.000), P at (0.000, 0.500, 0.500) and Os at (0.500, 0.500, 0.500).

As for the energy: -29.90 eV per cell. The mass density is 5.351 g/cm³. The energy relative to the elements is 3.78 eV/f.u.


DFT (PBEsol) results for a relaxed Al2POs crystal.

The structure belongs to space group I-4m2 (No. 119); the cell edges are 3.953, 3.953 and 7.080 Å and the angles 90.00°, 90.00° and 90.00°. The inequivalent atoms are Al at (0.000, 0.000, 0.000), Al at (0.000, 0.500, 0.250), P at (0.000, 0.500, 0.750) and Os at (0.000, 0.000, 0.500).

As for the energy: -52.25 eV per cell. The mass density is 8.259 g/cm³. The energy relative to the elements is 0.07 eV/f.u.


DFT (PBEsol) results for a relaxed Al2POs crystal.

The structure belongs to space group I4/mmm (No. 139); the cell edges are 3.749, 3.749 and 7.672 Å and the angles 90.00°, 90.00° and 90.00°. The inequivalent atoms are Al at (0.000, 0.500, 0.250), P at (0.000, 0.000, 0.000) and Os at (0.000, 0.000, 0.500).

As for the energy: -52.95 eV per cell. The mass density is 8.475 g/cm³. The energy relative to the elements is -0.28 eV/f.u.


DFT (PBEsol) results for a relaxed AlPOs2 crystal.

The structure belongs to space group P4/mmm (No. 123); the cell edges are 4.155, 4.155 and 2.971 Å and the angles 90.00°, 90.00° and 90.00°. The inequivalent atoms are Al at (0.000, 0.000, 0.000), P at (0.500, 0.500, 0.000) and Os at (0.000, 0.500, 0.500).

As for the energy: -35.21 eV per cell. The mass density is 14.192 g/cm³. The energy relative to the elements is -0.90 eV/f.u.